(1)
{"formula": "BaZn4AsP2", "functional": "GGA-PBE", "state": "optimized geometry", "mass_density_g_cm3": 5.367, "spacegroup": "No. 123", "total_magnetization_mub_per_cell": 0.000, "dos_ef_per_ev_cell": 2.9, "cell": [[-2.244, -3.403, 0.381], [1.476, -1.372, -3.564], [7.464, -4.387, 4.781]], "species": ["Zn", "Zn", "Zn", "Zn", "As", "P", "P", "Ba"], "fractional_positions": [[0.500, 0.000, 0.175], [0.500, 0.000, 0.825], [0.000, 0.500, 0.175], [0.000, 0.500, 0.825], [0.000, 0.000, 0.000], [0.500, 0.500, 0.688], [0.500, 0.500, 0.312], [0.000, 0.000, 0.500]]}

=====

(2)
{"formula": "Pr4InFe", "functional": "GGA-PBE", "state": "optimized geometry", "mass_density_g_cm3": 6.908, "spacegroup": "No. 12", "total_magnetization_mub_per_cell": 1.096, "dos_ef_per_ev_cell": 11.0, "cell": [[-2.182, -4.659, 3.223], [6.306, -3.614, -0.956], [0.805, 7.383, 5.510]], "species": ["In", "In", "Pr", "Pr", "Pr", "Pr", "Pr", "Pr", "Pr", "Pr", "Fe", "Fe"], "fractional_positions": [[0.194, 0.195, 0.389], [0.806, 0.805, 0.611], [0.379, 0.637, 0.758], [0.186, 0.685, 0.370], [0.379, 0.121, 0.758], [0.621, 0.879, 0.242], [0.814, 0.315, 0.630], [0.621, 0.363, 0.242], [0.000, 0.775, 0.000], [0.000, 0.225, 0.000], [0.686, 0.500, 0.999], [0.314, 0.500, 0.001]]}

=====

(3)
{"formula": "TbHo3Rh8", "functional": "GGA-PBE", "state": "optimized geometry", "polymorph_energy_ev_per_fu": 0.32, "mass_density_g_cm3": 11.446, "spacegroup": "No. 156", "total_magnetization_mub_per_cell": 0.000, "dos_ef_per_ev_cell": 7.4, "cell": [[5.328, 0.000, 0.000], [-2.664, 4.614, 0.000], [0.000, 0.000, 8.715]], "species": ["Rh", "Rh", "Rh", "Rh", "Rh", "Rh", "Rh", "Rh", "Tb", "Ho", "Ho", "Ho"], "fractional_positions": [[0.671, 0.836, 0.249], [0.333, 0.667, 0.500], [0.502, 0.498, 0.751], [0.995, 0.498, 0.751], [0.333, 0.667, 0.000], [0.164, 0.329, 0.249], [0.164, 0.836, 0.249], [0.502, 0.005, 0.751], [0.000, 0.000, 0.567], [0.000, 0.000, 0.934], [0.667, 0.333, 0.066], [0.667, 0.333, 0.433]]}

=====

Energy of formation (eV/atom)
-0.3458, -0.1224, -0.7264